# MgSb PBE-GGA optimized geometry
data_MgSb
_chemical_formula_sum 'Mg3 Sb3'
_space_group_name_H-M_alt 'P 1'
_space_group_IT_number 1
_cell_length_a 6.290
_cell_length_b 6.290
_cell_length_c 8.148
_cell_angle_alpha 111.02
_cell_angle_beta 111.02
_cell_angle_gamma 31.44
loop_
_space_group_symop_operation_xyz
'x,y,z'
loop_
_atom_site_label
_atom_site_type_symbol
_atom_site_fract_x
_atom_site_fract_y
_atom_site_fract_z
_atom_site_occupancy
Mg1 Mg 0.000 0.000 0.000 1
Mg2 Mg 0.270 0.270 0.049 1
Mg3 Mg 0.564 0.564 0.678 1
Sb1 Sb 0.314 0.314 0.728 1
Sb2 Sb 0.686 0.686 0.283 1
Sb3 Sb 0.949 0.949 0.338 1
# Mass density (Mg/m³): 4.7
# Volume (A^3/atom): 26.0
# Raw formation energy (eV per atom): -0.09